Computed, not measured: CsNbNiO2F4 after structural relaxation at the PBE with a Hubbard U level of DFT.

abc: 7.5323 7.5323 7.4858
angles: 60.61 60.61 91.41
Last column: nearest neighbours and their distance in Å.
Sites, in units of the cell vectors:
Nb: 0.4846 0.0003 0.2395  3 O 1.81-1.97
Nb: 0.9997 0.5154 0.7605  3 O 1.81-1.97
O: 0.7122 0.2878 0.0000  2 Nb 1.96
O: 0.3121 0.0661 0.1314  1 Nb 1.81, 1 Ni 2.01
O: 0.9339 0.6879 0.8686  1 Nb 1.81, 1 Ni 2.01
O: 0.3127 0.6873 0.5000  2 Nb 1.97
Cs: 0.3578 0.6422 0.0000  5 F 3.13-3.25
Cs: 0.6184 0.3816 0.5000  3 F 3.16-3.35, 3 O 3.30-3.36
F: 0.6782 0.9179 0.3917  1 Ni 2.03, 1 Nb 2.19
F: 0.9291 0.0709 0.5000  2 Ni 2.01
F: 0.3331 0.0708 0.4968  1 Nb 2.04, 1 Ni 2.11
F: 0.0826 0.3295 0.9950  1 Nb 2.03, 1 Ni 2.08
F: 0.6705 0.9174 0.0050  1 Nb 2.03, 1 Ni 2.08
F: 0.0821 0.3218 0.6083  1 Ni 2.03, 1 Nb 2.19
F: 0.9292 0.6669 0.5032  1 Nb 2.04, 1 Ni 2.11
F: 0.0652 0.9348 0.0000  2 Ni 2.01
Ni: 0.0003 0.0018 0.7479  5 F 2.01-2.11, 1 O 2.01
Ni: 0.9982 0.9997 0.2521  5 F 2.01-2.11, 1 O 2.01

Values from the calculation:
Its density of states at the Fermi level is 0.000 states/eV/atom. The raw total energy comes out at -0.443 Ry per atom. The density comes out at 4.31 g/cm³.